[1]
Density functional theory data (PBE) for a geometry-optimized RbCrI2Cl structure.

Properties
E_form (uncorrected) = -0.946 eV/atom

Lattice parameters (Å, degrees): 5.828 5.828 4.915 90.00 90.00 90.00
Fractional coordinates of all 5 atoms:
Rb 0.000 0.000 0.000
Cr 0.500 0.500 0.500
I 0.000 0.500 0.500
I 0.500 0.000 0.500
Cl 0.500 0.500 0.000

[2]
Density functional theory data (PBE) for a geometry-optimized CrRe2ICl structure.

Properties
E_form (uncorrected) = 2.447 eV/atom

Lattice parameters (Å, degrees): 4.889 4.889 5.587 90.00 90.00 90.00
Fractional coordinates of all 5 atoms:
Cr 0.000 0.000 0.000
Re 0.000 0.500 0.500
Re 0.500 0.000 0.500
I 0.500 0.500 0.500
Cl 0.500 0.500 0.000

[3]
Density functional theory data (PBE) for a geometry-optimized CrReICl2 structure.

Properties
E_form (uncorrected) = 1.611 eV/atom

Lattice parameters (Å, degrees): 6.040 6.040 4.941 90.00 90.00 90.00
Fractional coordinates of all 5 atoms:
Cr 0.000 0.000 0.000
Re 0.500 0.500 0.000
I 0.500 0.500 0.500
Cl 0.000 0.500 0.500
Cl 0.500 0.000 0.500

[4]
Density functional theory data (PBE) for a geometry-optimized CrS2ICl structure.

Properties
E above lowest polymorph = 0 meV/atom
E_form (uncorrected) = 0.119 eV/atom

Lattice parameters (Å, degrees): 4.599 4.599 4.684 90.00 90.00 90.00
Fractional coordinates of all 5 atoms:
Cr 0.000 0.000 0.000
S 0.000 0.500 0.000
S 0.500 0.000 0.000
I 0.500 0.500 0.500
Cl 0.000 0.000 0.500

[5]
Density functional theory data (PBE) for a geometry-optimized CrSbI2Cl structure.

Properties
E above lowest polymorph = 0 meV/atom
E_form (uncorrected) = 0.178 eV/atom

Lattice parameters (Å, degrees): 5.328 5.328 5.358 90.00 90.00 90.00
Fractional coordinates of all 5 atoms:
Cr 0.000 0.000 0.000
Sb 0.000 0.000 0.500
I 0.000 0.500 0.000
I 0.500 0.000 0.000
Cl 0.500 0.500 0.500

[6]
Density functional theory data (PBE) for a geometry-optimized CrSbI2Cl structure.

Properties
E above lowest polymorph = 690 meV/atom
E_form (uncorrected) = 0.868 eV/atom

Lattice parameters (Å, degrees): 6.254 6.254 5.117 90.00 90.00 90.00
Fractional coordinates of all 5 atoms:
Cr 0.000 0.000 0.000
Sb 0.500 0.500 0.000
I 0.000 0.500 0.500
I 0.500 0.000 0.500
Cl 0.500 0.500 0.500

[7]
Density functional theory data (PBE) for a geometry-optimized CrSbI2Cl structure.

Properties
E above lowest polymorph = 201 meV/atom
E_form (uncorrected) = 0.379 eV/atom

Lattice parameters (Å, degrees): 5.885 5.885 5.504 90.00 90.00 90.00
Fractional coordinates of all 5 atoms:
Cr 0.000 0.000 0.000
Sb 0.000 0.000 0.500
I 0.000 0.500 0.500
I 0.500 0.000 0.500
Cl 0.500 0.500 0.000

[8]
Density functional theory data (PBE) for a geometry-optimized CrTeI2Cl structure.

Properties
E above lowest polymorph = 658 meV/atom
E_form (uncorrected) = 0.819 eV/atom

Lattice parameters (Å, degrees): 5.581 5.581 5.700 90.00 90.00 90.00
Fractional coordinates of all 5 atoms:
Cr 0.000 0.000 0.000
Te 0.500 0.500 0.000
I 0.000 0.500 0.500
I 0.500 0.000 0.500
Cl 0.500 0.500 0.500